# ZrScTe2 | the Alexandria database | PBE-GGA | relaxed
# * relative energy among the computed polymorphs: 86.73 kJ/mol of atoms
# * uncorrected energy: -5.40 eV/atom
# * theoretical density: 6.6 g cm⁻³
data_ZrScTe2
_space_group_name_H-M_alt 'P 1'
_space_group_IT_number 1
_space_group_name_Hall 'P 1'
_cell_length_a 5.186
_cell_length_b 5.186
_cell_length_c 5.186
_cell_angle_alpha 60.00
_cell_angle_beta 60.00
_cell_angle_gamma 60.00
loop_
_atom_site_label
_atom_site_type_symbol
_atom_site_fract_x
_atom_site_fract_y
_atom_site_fract_z
_atom_site_occupancy
Sc1 Sc 0.500 0.500 0.500 1
Te1 Te 0.000 0.000 0.000 1
Te2 Te 0.250 0.250 0.250 1
Zr1 Zr 0.750 0.750 0.750 1